(1)
An optimized crystal structure of Ti2RhS4, computed with GGA-PBE. Values from VASP.

Output
- DOS(E_F): 0.620 states/eV/atom
- Crystal system: tetragonal
- Raw total energy: -0.4451 Ry per atom

Quantum ESPRESSO input file:
```
&SYSTEM
  ibrav = 0, nat = 7, ntyp = 3
/
ATOMIC_SPECIES
Ti 47.87 Ti.upf
Rh 102.91 Rh.upf
S 32.06 S.upf
CELL_PARAMETERS angstrom
-2.3694 2.3694 5.8843
2.3694 -2.3694 5.8843
2.3694 2.3694 -5.8843
ATOMIC_POSITIONS crystal
Ti 0.1110 0.1110 0.0000
Ti 0.8890 0.8890 0.0000
Rh 0.5000 0.5000 0.0000
S 0.0000 0.5000 0.5000
S 0.2944 0.2944 0.0000
S 0.5000 0.0000 0.5000
S 0.7056 0.7056 0.0000
```

***

(2)
An optimized crystal structure of AcYCdOs, computed with GGA-PBE. Values from VASP.

Output
- DOS(E_F): 1.047 states/eV/atom
- Crystal system: cubic
- Raw total energy: -0.4170 Ry per atom

Quantum ESPRESSO input file:
```
&SYSTEM
  ibrav = 0, nat = 4, ntyp = 4
/
ATOMIC_SPECIES
Ac 227.00 Ac.upf
Y 88.91 Y.upf
Cd 112.41 Cd.upf
Os 190.23 Os.upf
CELL_PARAMETERS angstrom
0.0000 3.7126 3.7126
3.7126 0.0000 3.7126
3.7126 3.7126 0.0000
ATOMIC_POSITIONS crystal
Ac 0.0000 0.0000 0.0000
Y 0.5000 0.5000 0.5000
Cd 0.7500 0.7500 0.7500
Os 0.2500 0.2500 0.2500
```